# Al2CuSi2

Crystalline Al2CuSi2 at its relaxed geometry (PBE, Alexandria via LeMat-Bulk).

VASP energy in eV per atom: -4.163
V in A^3/atom: 15.880
Energy relative to the elements, uncorrected in meV per atom: 322
Energy above the most stable polymorph in this dataset in kJ per mole of atoms: 22.6
SG: P4/mbm

Cell and atoms, written as POSCAR:
```
Al2CuSi2
1.0
7.3183 0.0000 0.0000
0.0000 7.3183 0.0000
0.0000 0.0000 2.9651
Al Cu Si
4 2 4
direct
0.1343 0.3657 0.0000
0.3657 0.8657 0.0000
0.6343 0.1343 0.0000
0.8657 0.6343 0.0000
0.0000 0.0000 0.0000
0.5000 0.5000 0.0000
0.1678 0.6678 0.5000
0.3322 0.1678 0.5000
0.6678 0.8322 0.5000
0.8322 0.3322 0.5000
```



# NdMgAgPb

Crystalline NdMgAgPb at its relaxed geometry (PBE, Alexandria via LeMat-Bulk).

VASP energy in eV per atom: -3.544
Formation enthalpy at 0 K in eV/atom: -0.313
V in A^3/atom: 25.340
SG: F-43m

Cell and atoms, written as POSCAR:
```
NdMgAgPb
1.0
0.0000 3.7007 3.7007
3.7007 0.0000 3.7007
3.7007 3.7007 0.0000
Nd Mg Ag Pb
1 1 1 1
direct
0.0000 0.0000 0.0000
0.5000 0.5000 0.5000
0.2500 0.2500 0.2500
0.7500 0.7500 0.7500
```



no.,total magnetization (μB per atom)
1,0.000
2,0.000